# 1
# HoAl2Au3

A relaxed HoAl2Au3 crystal (PBE, the Alexandria database).

```
HoAl2Au3
1.0
-3.110 -0.629 4.673
-0.884 -6.323 -1.439
5.450 -0.032 3.624
Au Al Ho
6 4 2
Direct
0.750 0.016 0.016
0.250 0.544 0.848
0.750 0.456 0.152
0.750 0.152 0.456
0.250 0.848 0.544
0.250 0.984 0.984
0.000 0.215 0.785
0.500 0.785 0.215
0.500 0.215 0.785
0.000 0.785 0.215
0.750 0.653 0.653
0.250 0.347 0.347
```

Computed properties:
For the energy of formation, the calculation gives -0.587 eV/atom. The density of states at the Fermi level comes out at 0.291 states/eV/atom. The raw total energy is -4.2362 eV/atom. Its energy above the lowest structure with this stoichiometry is 0.0189 eV/atom. The calculation puts the theoretical density at 11.42 g/cm3.

# 2
# LaPtSe3

A relaxed LaPtSe3 crystal (PBE, the Alexandria database).

```
LaPtSe3
1.0
4.990 0.000 0.000
0.000 4.990 0.000
0.000 0.000 4.990
Se La Pt
3 1 1
Direct
0.000 0.500 0.000
0.000 0.000 0.500
0.500 0.000 0.000
0.500 0.500 0.500
0.000 0.000 0.000
```

Computed properties:
The density of states at the Fermi level comes out at 0.448 states/eV/atom. The raw total energy is -5.0793 eV/atom. Its energy above the lowest structure with this stoichiometry is 0.0000 eV/atom. The calculation puts the uncorrected formation energy at -0.79 eV/atom. The calculation puts the theoretical density at 7.63 g/cm3.

# 3
# NaBiRhO6

A relaxed NaBiRhO6 crystal (PBE, the Alexandria database).

```
NaBiRhO6
1.0
5.477 0.000 0.000
-2.738 4.743 0.000
0.000 0.000 10.124
O Rh Bi Na
12 2 2 2
Direct
0.387 0.357 0.361
0.971 0.613 0.361
0.387 0.029 0.139
0.613 0.643 0.639
0.643 0.029 0.361
0.357 0.971 0.639
0.643 0.613 0.139
0.357 0.387 0.861
0.971 0.357 0.139
0.613 0.971 0.861
0.029 0.643 0.861
0.029 0.387 0.639
0.333 0.667 0.750
0.667 0.333 0.250
0.667 0.333 0.750
0.333 0.667 0.250
0.000 0.000 0.500
0.000 0.000 0.000
```

Computed properties:
The density of states at the Fermi level comes out at 0.537 states/eV/atom. The raw total energy is -5.4340 eV/atom. The calculation puts the uncorrected formation energy at -0.73 eV/atom. The calculation puts the theoretical density at 5.44 g/cm3.